#i
# Ca2TeP SCAN PBEsol geometry
data_Ca2TeP
_chemical_formula_sum 'Ca4 Te2 P2'
_cell_length_a 6.7428
_cell_length_b 7.6421
_cell_length_c 3.8249
_cell_angle_alpha 90.00
_cell_angle_beta 90.12
_cell_angle_gamma 90.00
_symmetry_space_group_name_H-M 'C 1 2/m 1'
_symmetry_Int_Tables_number 12
_symmetry_space_group_name_Hall '-C 2y'
loop_
_atom_site_label
_atom_site_type_symbol
_atom_site_fract_x
_atom_site_fract_y
_atom_site_fract_z
Ca1 Ca 0.2500 0.2500 0.0000
Te1 Te 0.0000 0.0000 0.5000
P1 P 0.0000 0.5000 0.5000
# Total magnetization: 0.00 μB/f.u.

---

#ii
# Ca2TeP SCAN PBEsol geometry
data_Ca2TeP
_chemical_formula_sum 'Ca4 Te2 P2'
_cell_length_a 4.2298
_cell_length_b 4.2298
_cell_length_c 11.1123
_cell_angle_alpha 90.00
_cell_angle_beta 90.00
_cell_angle_gamma 90.00
_symmetry_space_group_name_H-M 'I -4 m 2'
_symmetry_Int_Tables_number 119
_symmetry_space_group_name_Hall 'I -4 -2'
loop_
_atom_site_label
_atom_site_type_symbol
_atom_site_fract_x
_atom_site_fract_y
_atom_site_fract_z
Ca1 Ca 0.0000 0.0000 0.0000
Ca2 Ca 0.0000 0.5000 0.2500
Te1 Te 0.0000 0.5000 0.7500
P1 P 0.0000 0.0000 0.5000
# Total magnetization: 0.00 μB/f.u.

---

#iii
# Ca2TeP SCAN PBEsol geometry
data_Ca2TeP
_chemical_formula_sum 'Ca8 Te4 P4'
_cell_length_a 7.8861
_cell_length_b 7.8861
_cell_length_c 6.9660
_cell_angle_alpha 90.00
_cell_angle_beta 90.00
_cell_angle_gamma 90.00
_symmetry_space_group_name_H-M 'I -4 2 d'
_symmetry_Int_Tables_number 122
_symmetry_space_group_name_Hall 'I -4 2bw'
loop_
_atom_site_label
_atom_site_type_symbol
_atom_site_fract_x
_atom_site_fract_y
_atom_site_fract_z
Ca1 Ca 0.2151 0.7500 0.1250
Te1 Te 0.0000 0.0000 0.5000
P1 P 0.0000 0.0000 0.0000
# Total magnetization: 0.00 μB/f.u.

---

Relative to the most stable structure, the computed energies are #i 3.7; #ii 8.9; #iii 0.0, all in kJ/mol of atoms.